Computed, not measured: a geometry-optimized K2CdBr2Cl2 structure at the PBE level of DFT.

Calculated values
**Calculated volume**: 33.0 Å³/atom
**D(E_F)**: 0.000 states/eV per atom
**Total magnetic moment**: 0.0 μB/cell
**Energy**: -20.4 eV per cell
**Formation energy without anion corrections**: -1.47 eV/atom

a = 5.2938 Å, b = 5.2938 Å, c = 9.0566 Å
α = 106.99°, β = 106.99°, γ = 90.00°
Atoms (fractional coordinates):
K 0.3661 0.3661 0.7321
K 0.6339 0.6339 0.2679
Cd 0.0000 0.0000 0.0000
Br 0.1662 0.1662 0.3324
Br 0.8338 0.8338 0.6676
Cl 0.0000 0.5000 0.0000
Cl 0.5000 0.0000 0.0000